A plane-wave DFT calculation with PBE-GGA was carried out for a relaxed structure of HfSn2Os2.

Lattice parameters (Å, degrees): 3.979 3.979 6.932 73.32 73.32 90.00
Atoms (fractional coordinates):
Os 0.596 0.596 0.807
Sn 0.250 0.750 0.500
Os 0.404 0.404 0.193
Sn 0.750 0.250 0.500
Hf 0.000 0.000 0.000

Results
E_form: 0.288 eV per atom
excess energy over the best structure of this formula in the dataset: 113 meV/atom
space group: I4/mmm (139)
crystal system: tetragonal

***

A plane-wave DFT calculation with PBE-GGA was carried out for a relaxed structure of Hf8Sn2Os.

Lattice parameters (Å, degrees): 4.713 5.875 9.528 106.98 104.32 90.00
Atoms (fractional coordinates):
Hf 0.977 0.227 0.953
Hf 0.354 0.954 0.707
Hf 0.646 0.046 0.293
Sn 0.818 0.221 0.635
Hf 0.023 0.773 0.047
Hf 0.231 0.345 0.463
Hf 0.769 0.655 0.537
Os 0.500 0.000 0.000
Sn 0.182 0.779 0.365
Hf 0.584 0.489 0.167
Hf 0.416 0.511 0.833

Results
E_form: -0.170 eV per atom
space group: C2/m (12)
crystal system: monoclinic

***

A plane-wave DFT calculation with PBE-GGA was carried out for a relaxed structure of Hf6SnOs.

Lattice parameters (Å, degrees): 7.578 8.092 5.545 43.15 46.90 57.78
Atoms (fractional coordinates):
Hf 0.238 0.021 0.185
Hf 0.020 0.442 0.299
Hf 0.762 0.979 0.815
Hf 0.557 0.238 0.226
Sn 0.500 0.500 0.500
Hf 0.980 0.558 0.701
Os 0.000 0.000 0.000
Hf 0.443 0.762 0.774

Results
E_form: -0.230 eV per atom
space group: R-3 (148)
crystal system: trigonal

***

A plane-wave DFT calculation with PBE-GGA was carried out for a relaxed structure of HfSn2Os.

Lattice parameters (Å, degrees): 4.797 4.797 4.797 60.00 60.00 60.00
Site moments in Bohr magnetons follow the coordinates.
Atoms (fractional coordinates):
Sn 0.250 0.250 0.250  0.01
Sn 0.750 0.750 0.750  0.01
Hf 0.000 0.000 0.000  0.12
Os 0.500 0.500 0.500  0.06

Results
E_form: 0.243 eV per atom
excess energy over the best structure of this formula in the dataset: 0 meV/atom
space group: Fm-3m (225)
crystal system: cubic

***

A plane-wave DFT calculation with PBE-GGA was carried out for a relaxed structure of Hf6Sn2Os.

Lattice parameters (Å, degrees): 5.652 7.450 9.434 90.00 89.20 90.00
Atoms (fractional coordinates):
Hf 0.859 0.961 0.240
Sn 0.124 0.605 0.238
Hf 0.359 0.539 0.740
Hf 0.632 0.161 0.965
Hf 0.611 0.207 0.538
Hf 0.889 0.707 0.962
Hf 0.389 0.793 0.462
Sn 0.876 0.395 0.762
Hf 0.132 0.339 0.465
Sn 0.376 0.105 0.262
Hf 0.868 0.661 0.535
Sn 0.624 0.895 0.738
Os 0.500 0.500 0.000
Hf 0.641 0.461 0.260
Hf 0.141 0.039 0.760
Hf 0.368 0.839 0.035
Os 0.000 0.000 0.500
Hf 0.111 0.293 0.038

Results
E_form: -0.175 eV per atom
space group: P2_1/c (14)
crystal system: monoclinic

***

A plane-wave DFT calculation with PBE-GGA was carried out for a relaxed structure of Hf12Sn6Os.

Lattice parameters (Å, degrees): 7.914 7.914 7.914 100.34 100.34 100.34
Atoms (fractional coordinates):
Hf 0.598 0.482 0.784
Hf 0.674 0.936 0.987
Hf 0.402 0.518 0.216
Sn 0.665 0.334 0.109
Hf 0.936 0.987 0.674
Hf 0.987 0.674 0.936
Hf 0.784 0.598 0.482
Os 0.000 0.000 0.000
Hf 0.482 0.784 0.598
Hf 0.064 0.013 0.326
Hf 0.216 0.402 0.518
Sn 0.335 0.666 0.891
Hf 0.013 0.326 0.064
Sn 0.334 0.109 0.665
Sn 0.891 0.335 0.666
Hf 0.518 0.216 0.402
Sn 0.666 0.891 0.335
Sn 0.109 0.665 0.334
Hf 0.326 0.064 0.013

Results
E_form: 0.044 eV per atom
space group: R-3 (148)
crystal system: trigonal

***

A plane-wave DFT calculation with PBE-GGA was carried out for a relaxed structure of HfSn2Os2.

Lattice parameters (Å, degrees): 7.601 7.601 3.229 90.00 90.00 90.00
Atoms (fractional coordinates):
Sn 0.339 0.161 0.500
Os 0.863 0.637 0.000
Hf 0.000 0.000 0.000
Sn 0.839 0.339 0.500
Os 0.137 0.363 0.000
Hf 0.500 0.500 0.000
Sn 0.161 0.661 0.500
Sn 0.661 0.839 0.500
Os 0.637 0.137 0.000
Os 0.363 0.863 0.000

Results
E_form: 0.175 eV per atom
excess energy over the best structure of this formula in the dataset: 0 meV/atom
space group: P4/mbm (127)
crystal system: tetragonal

***

A plane-wave DFT calculation with PBE-GGA was carried out for a relaxed structure of HfTa2SnOs.

Lattice parameters (Å, degrees): 4.907 4.922 4.907 90.00 90.00 90.00
Atoms (fractional coordinates):
Ta 0.500 0.000 0.000
Hf 0.500 0.500 0.500
Sn 0.000 0.500 0.000
Os 0.000 0.000 0.000
Ta 0.000 0.000 0.500

Results
E_form: 1.020 eV per atom
space group: P4/mmm (123)
crystal system: tetragonal

***

A plane-wave DFT calculation with PBE-GGA was carried out for a relaxed structure of HfTaSn2Os.

Lattice parameters (Å, degrees): 5.205 4.764 5.205 90.00 90.00 90.00
Atoms (fractional coordinates):
Ta 0.000 0.000 0.000
Sn 0.000 0.000 0.500
Os 0.000 0.500 0.000
Sn 0.500 0.000 0.000
Hf 0.500 0.500 0.500

Results
E_form: 1.247 eV per atom
space group: P4/mmm (123)
crystal system: tetragonal

***

A plane-wave DFT calculation with PBE-GGA was carried out for a relaxed structure of Hf2ZrSnOs.

Lattice parameters (Å, degrees): 5.018 5.052 5.018 90.00 90.00 90.00
Atoms (fractional coordinates):
Hf 0.000 0.000 0.500
Sn 0.500 0.500 0.500
Hf 0.500 0.000 0.000
Os 0.000 0.000 0.000
Zr 0.000 0.500 0.000

Results
E_form: 0.187 eV per atom
space group: P4/mmm (123)
crystal system: tetragonal

***

A plane-wave DFT calculation with PBE-GGA was carried out for a relaxed structure of SrHf2Os2.

Lattice parameters (Å, degrees): 8.077 8.077 3.178 90.00 90.00 90.00
Atoms (fractional coordinates):
Hf 0.860 0.360 0.500
Hf 0.640 0.860 0.500
Hf 0.140 0.640 0.500
Os 0.145 0.355 0.000
Os 0.355 0.855 0.000
Sr 0.000 0.000 0.000
Os 0.855 0.645 0.000
Sr 0.500 0.500 0.000
Os 0.645 0.145 0.000
Hf 0.360 0.140 0.500

Results
E_form: -0.092 eV per atom
excess energy over the best structure of this formula in the dataset: 128 meV/atom
space group: P4/mbm (127)
crystal system: tetragonal

***

A plane-wave DFT calculation with PBE-GGA was carried out for a relaxed structure of SrHfOs2.

Lattice parameters (Å, degrees): 4.973 4.973 9.618 75.02 75.02 90.00
Atoms (fractional coordinates):
Hf 0.750 0.250 0.500
Os 0.890 0.625 0.250
Hf 0.000 0.000 0.000
Os 0.875 0.110 0.750
Sr 0.250 0.750 0.500
Os 0.860 0.125 0.250
Sr 0.500 0.500 0.000
Os 0.375 0.140 0.750

Results
E_form: 0.710 eV per atom
excess energy over the best structure of this formula in the dataset: 243 meV/atom
space group: I-42d (122)
crystal system: tetragonal

***

Values for density of states at the Fermi level, states/eV per cell, ordered as above
2.7, 9.6, 6.4, 7.2, 12.2, 15.5, 7.4, 7.5, 4.7, 6.3, 4.6, 4.8
Values for total magnetization, Bohr magnetons per cell, ordered as above
0.00, 0.00, 0.00, 0.25, 0.00, 0.00, 0.00, 0.00, 0.00, 0.00, 0.00, 0.00